## HoNpCoO6 (PBE with a Hubbard U)

Data for a relaxed structure of HoNpCoO6.

Calculated values
For the volume, the calculation gives 241 Å³/cell. The calculation puts the total energy at -147.385 eV per cell. The space group is P-31c, No. 163.

extended XYZ file:
```
18
Lattice="5.650 0.000 0.000 -2.825 4.893 0.000 0.000 0.000 8.717" Properties=species:S:1:pos:R:3 pbc="T T T"
Ho 0.000 3.262 2.179
Ho 2.825 1.631 6.538
Np 0.000 3.262 6.538
Np 2.825 1.631 2.179
Co 0.000 0.000 0.000
Co 0.000 0.000 4.359
O -0.831 1.737 5.483
O -1.737 3.305 7.593
O 0.831 1.737 7.593
O -0.905 4.745 5.483
O 1.920 0.148 1.124
O 1.089 1.588 3.235
O 1.737 3.305 5.483
O 0.905 4.745 7.593
O 3.730 0.148 3.235
O 1.994 3.156 1.124
O 4.562 1.588 1.124
O 3.656 3.156 3.235
```